A plane-wave DFT calculation with GGA-PBE was carried out for a relaxed Ac6Zn3Hg crystal.

abc: 5.153 10.734 13.285
angles: 110.97 90.00 90.00
Fractional coordinates of all 20 atoms:
1 Ac 0.250 0.520 0.121
2 Ac 0.750 0.480 0.879
3 Ac 0.250 0.095 0.126
4 Ac 0.750 0.905 0.874
5 Ac 0.250 0.637 0.721
6 Ac 0.750 0.363 0.279
7 Ac 0.250 0.302 0.468
8 Ac 0.750 0.698 0.532
9 Ac 0.250 0.880 0.380
10 Ac 0.750 0.120 0.620
11 Ac 0.250 0.174 0.870
12 Ac 0.750 0.826 0.130
13 Zn 0.250 0.563 0.381
14 Zn 0.750 0.437 0.619
15 Zn 0.250 0.336 0.715
16 Zn 0.750 0.664 0.285
17 Zn 0.250 0.749 0.975
18 Zn 0.750 0.251 0.025
19 Hg 0.250 0.906 0.649
20 Hg 0.750 0.094 0.351

Results
Formation energy (kJ/mol of atoms): -18.2
Theoretical density (g cm⁻³): 8.51
Symmetry: P2_1/m (11)